Record 1
Crystalline ThMg2 at its relaxed geometry. Source: the Alexandria database, functional PBE-GGA.

Summary:
Formation energy from the elements, eV per atom: 0.015
Calculated total energy, eV per atom: -3.5210

The structure in POSCAR format:
```
ThMg2
1.0
6.1116 0.0000 0.0000
-3.0558 5.2928 0.0000
0.0000 0.0000 9.7002
Mg Th
8 4
Cartesian
0.0000 0.0000 0.0000
0.0000 0.0000 4.8501
-1.4822 4.3843 7.2752
3.0558 3.4757 2.4251
1.5736 0.9085 2.4251
1.4822 4.3843 7.2752
0.0000 1.8170 7.2752
4.5380 0.9085 2.4251
3.0558 1.7643 9.0402
0.0000 3.5285 4.1900
0.0000 3.5285 0.6601
3.0558 1.7643 5.5102
```

***

Record 2
Crystalline V2CoHRh at its relaxed geometry. Source: the Alexandria database, functional PBE-GGA.

Summary:
Energy above the lowest structure with this stoichiometry, eV per atom: 0.0737
Calculated total energy, eV per atom: -7.3824

The structure in POSCAR format:
```
V2CoHRh
1.0
-0.0517 -2.7342 2.6036
2.9007 1.6380 1.7777
-2.3946 2.0060 2.0590
Co Rh H V
1 1 1 2
Cartesian
0.2272 0.4549 3.2202
-1.1973 1.0030 1.0295
0.0000 0.0000 0.0000
1.4504 0.8190 0.8889
-0.0259 -1.3671 1.3018
```

***

Record 3
Crystalline BaSrTi2Ru at its relaxed geometry. Source: the Alexandria database, functional PBE-GGA.

Summary:
Formation energy from the elements, eV per atom: 0.480
Calculated total energy, eV per atom: -5.2537

The structure in POSCAR format:
```
BaSrTi2Ru
1.0
4.9474 0.0000 0.0000
0.0000 5.9761 0.0000
0.0000 0.0000 4.9474
Ru Ti Ba Sr
1 2 1 1
Cartesian
0.0000 0.0000 0.0000
0.0000 0.0000 2.4737
2.4737 0.0000 0.0000
0.0000 2.9881 0.0000
2.4737 2.9881 2.4737
```

***

Record 4
Crystalline GaSiNiOs at its relaxed geometry. Source: the Alexandria database, functional PBE-GGA.

Summary:
Uncorrected formation energy, meV/atom: -211
Energy above the lowest structure with this stoichiometry, eV per atom: 0.0565
Calculated total energy, eV per atom: -6.5759

The structure in POSCAR format:
```
GaSiNiOs
1.0
7.7136 0.0000 -0.0164
0.0000 2.8816 0.0000
-1.0895 0.0000 4.8676
Ni Si Os Ga
2 2 2 2
Cartesian
6.8973 0.0000 2.4227
7.4421 1.4408 -0.0111
4.9213 0.0000 3.6839
5.4661 1.4408 1.2501
3.5417 0.0000 1.6702
2.9969 1.4408 4.1040
0.7626 0.0000 4.4805
1.3074 1.4408 2.0467
```

***

Record 5
Crystalline MnSiTe2 at its relaxed geometry. Source: the Alexandria database, functional PBE-GGA.

Summary:
Uncorrected formation energy, meV/atom: 400
Calculated total energy, eV per atom: -4.8185

The structure in POSCAR format:
```
MnSiTe2
1.0
-1.6032 2.1891 2.1883
-3.0093 -1.6794 -0.5247
1.4680 -4.3150 5.3920
Mn Si Te
1 1 2
Cartesian
-1.9392 -0.8239 2.1798
-1.2053 -2.9814 4.8758
0.0248 -0.0728 0.0909
0.7092 -2.0847 2.6051
```

***

Record 6
Crystalline Sr2CrCoS at its relaxed geometry. Source: the Alexandria database, functional PBE-GGA.

Summary:
Uncorrected formation energy, meV/atom: 65
Calculated total energy, eV per atom: -4.7792

The structure in POSCAR format:
```
Sr2CrCoS
1.0
5.8509 0.0000 0.0000
0.0000 4.0899 0.0000
0.0000 0.0000 5.8509
Sr S Co Cr
2 1 1 1
Cartesian
0.0000 0.0000 2.9254
2.9254 0.0000 0.0000
0.0000 2.0449 0.0000
0.0000 0.0000 0.0000
2.9254 2.0449 2.9254
```

***

Record 7
Crystalline Pr3H6Ru at its relaxed geometry. Source: the Alexandria database, functional PBE-GGA.

Summary:
Calculated total energy, eV per atom: -4.7730

The structure in POSCAR format:
```
Pr3H6Ru
1.0
5.2485 0.0000 0.0000
0.0000 7.4659 -0.2868
0.0000 -1.9456 7.2136
Pr H Ru
6 12 2
Cartesian
2.4610 5.4949 4.7160
5.0852 3.3709 6.4087
2.3920 1.6819 4.3227
5.0163 3.8384 2.6041
5.0852 0.0254 2.2108
2.4610 2.1494 0.5181
1.1357 3.5821 4.4563
3.7599 3.5446 4.4862
0.8501 1.2057 6.2920
3.4743 5.8643 2.5793
0.8057 -1.4740 6.8378
3.5512 0.0707 5.6067
0.9269 5.4495 1.3201
3.4299 6.9943 0.0890
0.8501 -0.3441 4.3475
3.4743 4.3146 0.6347
1.1357 1.9757 2.4406
3.7599 1.9382 2.4705
0.0262 -0.2663 5.8753
2.6504 5.7865 1.0515
```

***

Record 8
Crystalline Sr3Ca4Cd at its relaxed geometry. Source: the Alexandria database, functional PBE-GGA.

Summary:
Formation energy from the elements, eV per atom: -0.072
Calculated total energy, eV per atom: -1.8176

The structure in POSCAR format:
```
Sr3Ca4Cd
1.0
-3.1802 -2.1174 1.2638
0.1303 -2.2039 -3.3646
12.9867 -13.8070 9.5471
Sr Ca Cd
3 4 1
Cartesian
1.3780 -5.2471 1.0838
4.9684 -9.0642 3.7232
8.5587 -12.8813 6.3626
11.8867 -12.6375 8.7384
1.1000 -1.1695 0.8087
4.7050 -5.0022 3.4588
8.2818 -8.8049 6.0883
-1.5250 -2.1607 -1.0504
```

***

Record 9
Crystalline KTaO2 at its relaxed geometry. Source: the Alexandria database, functional PBE-GGA.

Summary:
Uncorrected formation energy, meV/atom: -1702
Calculated total energy, eV per atom: -7.4182

The structure in POSCAR format:
```
KTaO2
1.0
5.2864 0.0000 0.0000
0.0000 5.2864 0.0000
2.6432 2.6432 5.6083
K O Ta
2 4 2
Cartesian
2.6432 2.6432 0.0000
2.6432 5.2864 2.8041
4.8855 1.3216 1.4021
5.6872 3.9648 1.4021
3.9648 3.0440 4.2062
6.6079 2.2423 4.2062
0.0000 0.0000 0.0000
5.2864 2.6432 2.8041
```

***

Record 10
Crystalline U2SnH at its relaxed geometry. Source: the Alexandria database, functional PBE-GGA.

Summary:
Calculated total energy, eV per atom: -7.4382

The structure in POSCAR format:
```
U2SnH
1.0
-2.1625 2.0708 -0.7534
-2.8418 -0.2354 1.1837
0.7708 5.6536 7.0015
H U Sn
1 2 1
Cartesian
0.0000 0.0000 0.0000
-1.2225 1.5329 1.3963
-3.0109 5.9561 6.0355
-2.1167 3.7445 3.7159
```

***

Record 11
Crystalline FeOs2Pb at its relaxed geometry. Source: the Alexandria database, functional PBE-GGA.

Summary:
Formation energy from the elements, eV per atom: 0.641
Calculated total energy, eV per atom: -8.0164

The structure in POSCAR format:
```
FeOs2Pb
1.0
-2.6240 -0.4290 2.5162
-1.0220 -2.2398 -1.4477
3.4870 -5.1850 2.7523
Fe Os Pb
1 2 1
Cartesian
0.7878 -5.8344 2.4897
-0.0590 -0.1444 -0.0862
-1.1906 -2.1815 1.0493
1.5354 -3.4059 1.0204
```

***

Record 12
Crystalline Th2AlOs at its relaxed geometry. Source: the Alexandria database, functional PBE-GGA.

Summary:
Formation energy from the elements, eV per atom: -0.186
Calculated total energy, eV per atom: -7.6394

The structure in POSCAR format:
```
Th2AlOs
1.0
-0.5465 2.2804 -2.7823
-3.5859 -0.1194 0.6065
0.5831 5.7204 4.5739
Os Al Th
1 1 2
Cartesian
-2.0662 1.0805 -1.0879
-1.7746 3.9407 1.1990
0.4511 4.4247 3.5379
0.1321 1.2956 1.0360
```

***

Number 1: DOS at the Fermi energy 1.1032 states/eV per atom. Number 2: DOS at the Fermi energy 0.7366 states/eV per atom. Number 3: DOS at the Fermi energy 1.0549 states/eV per atom. Number 4: DOS at the Fermi energy 0.2797 states/eV per atom. Number 5: DOS at the Fermi energy 0.6910 states/eV per atom. Number 6: DOS at the Fermi energy 0.4409 states/eV per atom. Number 7: DOS at the Fermi energy 0.2441 states/eV per atom. Number 8: DOS at the Fermi energy 1.1494 states/eV per atom. Number 9: DOS at the Fermi energy 0.4110 states/eV per atom. Number 10: DOS at the Fermi energy 2.2865 states/eV per atom. Number 11: DOS at the Fermi energy 0.9103 states/eV per atom. Number 12: DOS at the Fermi energy 0.8012 states/eV per atom.